{
  "formula": "Zr11VO24",
  "functional": "GGA+U",
  "state": "relaxed",
  "e_tot_ev_per_atom": -9.311,
  "spacegroup": "Pmm2, No. 25",
  "lattice_angstrom": [[5.307, 0.000, 0.000], [0.000, 7.323, 0.000], [0.000, 0.000, 10.797]],
  "species": ["Zr", "Zr", "Zr", "Zr", "Zr", "Zr", "Zr", "Zr", "Zr", "Zr", "Zr", "V", "O", "O", "O", "O", "O", "O", "O", "O", "O", "O", "O", "O", "O", "O", "O", "O", "O", "O", "O", "O", "O", "O", "O", "O"],
  "fractional_positions": [[0.758, 0.744, 0.000], [0.745, 0.753, 0.333], [0.745, 0.753, 0.667], [0.263, 0.000, 0.835], [0.263, 0.000, 0.165], [0.222, 0.000, 0.500], [0.758, 0.256, 0.000], [0.745, 0.247, 0.333], [0.745, 0.247, 0.667], [0.250, 0.500, 0.825], [0.250, 0.500, 0.175], [0.286, 0.500, 0.500], [0.451, 0.752, 0.833], [0.951, 0.732, 0.831], [0.451, 0.752, 0.167], [0.951, 0.732, 0.169], [0.417, 0.736, 0.500], [0.916, 0.792, 0.500], [0.044, 0.000, 0.677], [0.539, 0.000, 0.660], [0.571, 0.000, 0.000], [0.060, 0.000, 0.000], [0.044, 0.000, 0.323], [0.539, 0.000, 0.340], [0.451, 0.248, 0.833], [0.951, 0.268, 0.831], [0.951, 0.268, 0.169], [0.451, 0.248, 0.167], [0.417, 0.264, 0.500], [0.916, 0.208, 0.500], [0.562, 0.500, 0.000], [0.070, 0.500, 0.000], [0.070, 0.500, 0.355], [0.562, 0.500, 0.331], [0.070, 0.500, 0.645], [0.562, 0.500, 0.669]]
}